Material: CoPdF
Method: DFT, PBE+U
State: relaxed

- electronic total energy (eV per atom) = -4.821

```
data_CoPdF
_cell_length_a 9.6313
_cell_length_b 2.9007
_cell_length_c 7.6408
_cell_angle_alpha 90.00
_cell_angle_beta 125.29
_cell_angle_gamma 90.00
_space_group_name_H-M_alt 'C 1 2/m 1'
_space_group_IT_number 12
_space_group_name_Hall '-C 2y'
loop_
_atom_site_label
_atom_site_type_symbol
_atom_site_fract_x
_atom_site_fract_y
_atom_site_fract_z
Co1 Co 0.1910 0.0000 0.2724
Pd1 Pd 0.1092 0.5000 0.9419
F1 F 0.1496 0.0000 0.5197
```